{
  "formula": "CoAgN2F",
  "functional": "PBE+U",
  "state": "relaxed",
  "lattice": [[-3.1051, -1.0271, 1.1044], [0.5081, -3.0924, -1.4474], [2.3780, -1.9081, 4.9116]],
  "species": ["N", "N", "Ag", "F", "Co"],
  "frac_coords": [[0.5000, 0.0000, 0.0000], [0.0000, 0.5000, 0.0000], [0.5000, 0.5000, 0.5000], [0.0000, 0.0000, 0.5000], [0.0000, 0.0000, 0.0000]],
  "mass_density_g_cm3": 5.2,
  "final_energy_ev_per_atom": -4.559,
  "space_group": "P4/mmm",
  "m_tot_mub_per_atom": 0.073,
  "crystal_system": "tetragonal"
}